Entry 1:
TcIrN3 | PBE | optimized geometry

It has space group Pm-3m (No. 221), with a = 3.859 Å, b = 3.859 Å, c = 3.859 Å, α = 90.00°, β = 90.00° and γ = 90.00°. The distinct sites, in fractional coordinates, are Tc at (0.000, 0.000, 0.000), Ir at (0.500, 0.500, 0.500) and N at (0.000, 0.000, 0.500).

The value obtained for the size of the total moment is 0.0 μB/f.u. As for the formation energy without anion corrections: 1.60 eV/atom.

=====

Entry 2:
Cs2AcCu2Se4 | PBE | optimized geometry

It has space group C2/m (No. 12), with a = 16.354 Å, b = 4.339 Å, c = 8.631 Å, α = 90.00°, β = 110.52° and γ = 90.00°. The distinct sites, in fractional coordinates, are Cs at (0.136, 0.000, 0.071), Ac at (0.000, 0.000, 0.500), Cu at (0.173, 0.500, 0.477), Se at (0.023, 0.500, 0.264) and Se at (0.204, 0.000, 0.635).

The value obtained for the size of the total moment is 0.0 μB/f.u. As for the formation energy without anion corrections: -1.06 eV/atom.